No. 1
Computed, not measured: a geometry-optimized In2GeB2Rh5 structure at the GGA-PBE level of DFT.

Its energy is -6.3822 eV per atom.

The space group is P4/mbm (No. 127) and the conventional cell measures 9.568, 9.568 and 3.004 Å, with angles of 90.00, 90.00 and 90.00 degrees. The asymmetric unit holds In at (0.175, 0.325, 0.000), Ge at (0.000, 0.000, 0.000), B at (0.125, 0.625, 0.000), Rh at (0.000, 0.500, 0.500) and Rh at (0.073, 0.785, 0.500).

***

No. 2
Computed, not measured: a geometry-optimized MoPd2RuPb structure at the GGA-PBE level of DFT.

Its energy is -4.9068 eV per atom.

The space group is P4/mmm (No. 123) and the conventional cell measures 4.892, 4.892 and 4.989 Å, with angles of 90.00, 90.00 and 90.00 degrees. The asymmetric unit holds Mo at (0.000, 0.000, 0.000), Pd at (0.000, 0.500, 0.500), Ru at (0.500, 0.500, 0.000) and Pb at (0.500, 0.500, 0.500).